# 1
The following is a GGA-PBE calculation of crystalline LiY3Ho4S8 at its relaxed geometry, from Alexandria.

Unit cell a=7.7704 b=7.7704 c=7.7704 alpha=60.03 beta=60.03 gamma=60.03
With the nearest neighbours (Å) after each atom.
Sites, in units of the cell vectors:
Li1 0.0000 0.0000 0.0000  6 S 2.70
Y1 0.0000 0.5000 0.5000  6 S 2.76
Y2 0.5000 0.0000 0.5000  6 S 2.76
Y3 0.5000 0.5000 0.0000  6 S 2.76
Ho1 0.0000 0.0000 0.5000  6 S 2.74
Ho2 0.0000 0.5000 0.0000  6 S 2.74
Ho3 0.5000 0.0000 0.0000  6 S 2.74
Ho4 0.5000 0.5000 0.5000  6 S 2.79
S1 0.2440 0.7540 0.7540  1 Li 2.70, 3 Ho 2.74-2.79, 2 Y 2.76
S2 0.2460 0.2460 0.7560  1 Li 2.70, 3 Ho 2.74-2.79, 2 Y 2.76
S3 0.2460 0.7560 0.2460  1 Li 2.70, 3 Ho 2.74-2.79, 2 Y 2.76
S4 0.2490 0.2490 0.2490  3 Ho 2.74, 3 Y 2.76
S5 0.7510 0.7510 0.7510  3 Ho 2.74, 3 Y 2.76
S6 0.7540 0.2440 0.7540  1 Li 2.70, 3 Ho 2.74-2.79, 2 Y 2.76
S7 0.7540 0.7540 0.2440  1 Li 2.70, 3 Ho 2.74-2.79, 2 Y 2.76
S8 0.7560 0.2460 0.2460  1 Li 2.70, 3 Ho 2.74-2.79, 2 Y 2.76

Computed properties:
The space group is No. 166. As for the raw formation energy: -3020 kJ/mol of formula units.


# 2
The following is a GGA-PBE calculation of crystalline LiY2HoS4 at its relaxed geometry, from Alexandria.

Unit cell a=6.7143 b=3.8775 c=6.7194 alpha=90.00 beta=109.39 gamma=90.00
With the nearest neighbours (Å) after each atom.
Sites, in units of the cell vectors:
Li1 0.0000 0.0000 0.0000  6 S 2.69-2.71
Y1 0.0000 0.5000 0.5000  6 S 2.75
Y2 0.5000 0.0000 0.5000  6 S 2.78-2.79
Ho1 0.5000 0.5000 0.0000  6 S 2.73
S1 0.2451 0.5000 0.2432  2 Li 2.71, 1 Ho 2.73, 3 Y 2.75-2.78
S2 0.2470 0.0000 0.7567  1 Li 2.69, 2 Ho 2.73, 3 Y 2.75-2.79
S3 0.7530 0.0000 0.2433  1 Li 2.69, 2 Ho 2.73, 3 Y 2.75-2.79
S4 0.7549 0.5000 0.7568  2 Li 2.71, 1 Ho 2.73, 3 Y 2.75-2.78

Computed properties:
The space group is No. 10. As for the raw formation energy: -1497 kJ/mol of formula units.


# 3
The following is a GGA-PBE calculation of crystalline LiY4HoS8 at its relaxed geometry, from Alexandria.

Unit cell a=8.0042 b=8.0042 c=8.0042 alpha=60.12 beta=60.12 gamma=60.12
With the nearest neighbours (Å) after each atom.
Sites, in units of the cell vectors:
Li1 0.0000 0.0000 0.0000  4 S 2.57-2.58
Y1 0.1113 0.6296 0.6296  6 S 2.71-2.80
Y2 0.2497 0.2497 0.2497  4 S 2.62
Y3 0.6296 0.1113 0.6296  6 S 2.71-2.80
Y4 0.6296 0.6296 0.1113  6 S 2.71-2.80
Ho1 0.6297 0.6297 0.6297  6 S 2.70-2.79
S1 0.3835 0.3835 0.3835  4 Y 2.62-2.80
S2 0.3845 0.3845 0.8488  3 Y 2.62-2.80, 1 Ho 2.79
S3 0.3845 0.8488 0.3845  3 Y 2.62-2.80, 1 Ho 2.79
S4 0.3947 0.8676 0.8676  1 Li 2.58, 1 Ho 2.70, 2 Y 2.71
S5 0.8488 0.3845 0.3845  3 Y 2.62-2.80, 1 Ho 2.79
S6 0.8676 0.3947 0.8676  1 Li 2.58, 1 Ho 2.70, 2 Y 2.71
S7 0.8676 0.8676 0.3947  1 Li 2.58, 1 Ho 2.70, 2 Y 2.71
S8 0.8687 0.8687 0.8687  1 Li 2.57, 3 Y 2.71

Computed properties:
The space group is No. 160. As for the raw formation energy: -2668 kJ/mol of formula units.


# 4
The following is a GGA-PBE calculation of crystalline LiYHo2S4 at its relaxed geometry, from Alexandria.

Unit cell a=6.7063 b=3.8685 c=6.7089 alpha=90.00 beta=109.37 gamma=90.00
With the nearest neighbours (Å) after each atom.
Sites, in units of the cell vectors:
Li1 0.0000 0.0000 0.0000  6 S 2.69-2.72
Y1 0.0000 0.5000 0.5000  6 S 2.75
Ho1 0.5000 0.0000 0.5000  6 S 2.76-2.78
Ho2 0.5000 0.5000 0.0000  6 S 2.73
S1 0.2470 0.5000 0.2451  2 Li 2.72, 3 Ho 2.73-2.76, 1 Y 2.75
S2 0.2480 0.0000 0.7557  1 Li 2.69, 3 Ho 2.73-2.78, 2 Y 2.75
S3 0.7520 0.0000 0.2443  1 Li 2.69, 3 Ho 2.73-2.78, 2 Y 2.75
S4 0.7530 0.5000 0.7549  2 Li 2.72, 3 Ho 2.73-2.76, 1 Y 2.75

Computed properties:
The space group is No. 10. As for the raw formation energy: -1494 kJ/mol of formula units.


# 5
The following is a GGA-PBE calculation of crystalline LiY3Ho2S6 at its relaxed geometry, from Alexandria.

Unit cell a=6.7210 b=6.7210 c=6.7403 alpha=99.60 beta=99.60 gamma=120.13
With the nearest neighbours (Å) after each atom.
Sites, in units of the cell vectors:
Li1 0.0000 0.0000 0.0000  6 S 2.66-2.69
Y1 0.1655 0.8345 0.5000  6 S 2.75-2.81
Y2 0.5000 0.5000 0.5000  6 S 2.75-2.83
Y3 0.8345 0.1655 0.5000  6 S 2.75-2.81
Ho1 0.3343 0.6657 0.0000  6 S 2.73-2.75
Ho2 0.6657 0.3343 0.0000  6 S 2.73-2.75
S1 0.0809 0.4078 0.2438  1 Li 2.69, 2 Ho 2.74-2.75, 3 Y 2.75-2.81
S2 0.2446 0.2446 0.7597  1 Li 2.66, 2 Ho 2.73, 3 Y 2.75-2.83
S3 0.4078 0.0809 0.2438  1 Li 2.69, 2 Ho 2.74-2.75, 3 Y 2.75-2.81
S4 0.5922 0.9191 0.7562  1 Li 2.69, 2 Ho 2.74-2.75, 3 Y 2.75-2.81
S5 0.7554 0.7554 0.2403  1 Li 2.66, 2 Ho 2.73, 3 Y 2.75-2.83
S6 0.9191 0.5922 0.7562  1 Li 2.69, 2 Ho 2.74-2.75, 3 Y 2.75-2.81

Computed properties:
The space group is No. 12. As for the raw formation energy: -2270 kJ/mol of formula units.


# 6
The following is a GGA-PBE calculation of crystalline Li4YHo3S8 at its relaxed geometry, from Alexandria.

Unit cell a=7.6431 b=7.6431 c=7.6431 alpha=61.37 beta=61.37 gamma=61.37
With the nearest neighbours (Å) after each atom.
Sites, in units of the cell vectors:
Li1 0.0000 0.0000 0.0000  6 S 2.72
Li2 0.0000 0.5000 0.5000  6 S 2.73
Li3 0.5000 0.0000 0.5000  6 S 2.73
Li4 0.5000 0.5000 0.0000  6 S 2.73
Y1 0.5000 0.5000 0.5000  6 S 2.74
Ho1 0.0000 0.0000 0.5000  6 S 2.73
Ho2 0.0000 0.5000 0.0000  6 S 2.73
Ho3 0.5000 0.0000 0.0000  6 S 2.73
S1 0.2494 0.2494 0.7512  3 Li 2.72-2.73, 2 Ho 2.73, 1 Y 2.74
S2 0.2494 0.7512 0.2494  3 Li 2.72-2.73, 2 Ho 2.73, 1 Y 2.74
S3 0.2488 0.7506 0.7506  3 Li 2.72-2.73, 2 Ho 2.73, 1 Y 2.74
S4 0.2498 0.2498 0.2498  3 Ho 2.73, 3 Li 2.73
S5 0.7502 0.7502 0.7502  3 Ho 2.73, 3 Li 2.73
S6 0.7512 0.2494 0.2494  3 Li 2.72-2.73, 2 Ho 2.73, 1 Y 2.74
S7 0.7506 0.2488 0.7506  3 Li 2.72-2.73, 2 Ho 2.73, 1 Y 2.74
S8 0.7506 0.7506 0.2488  3 Li 2.72-2.73, 2 Ho 2.73, 1 Y 2.74

Computed properties:
The space group is No. 166. As for the raw formation energy: -2862 kJ/mol of formula units.


# 7
The following is a GGA-PBE calculation of crystalline LiYHo4S8 at its relaxed geometry, from Alexandria.

Unit cell a=7.9893 b=7.9893 c=7.9893 alpha=59.88 beta=59.88 gamma=59.88
With the nearest neighbours (Å) after each atom.
Sites, in units of the cell vectors:
Li1 0.0000 0.0000 0.0000  4 S 2.57-2.58
Y1 0.6297 0.6297 0.6297  6 S 2.71-2.80
Ho1 0.1112 0.6298 0.6298  6 S 2.69-2.79
Ho2 0.2504 0.2504 0.2504  4 S 2.61
Ho3 0.6298 0.1112 0.6298  6 S 2.69-2.79
Ho4 0.6298 0.6298 0.1112  6 S 2.69-2.79
S1 0.3827 0.3827 0.8503  3 Ho 2.61-2.78, 1 Y 2.80
S2 0.3827 0.8503 0.3827  3 Ho 2.61-2.78, 1 Y 2.80
S3 0.3837 0.3837 0.3837  4 Ho 2.61-2.79
S4 0.3945 0.8696 0.8696  1 Li 2.57, 2 Ho 2.69, 1 Y 2.71
S5 0.8503 0.3827 0.3827  3 Ho 2.61-2.78, 1 Y 2.80
S6 0.8684 0.8684 0.8684  1 Li 2.58, 3 Ho 2.69
S7 0.8696 0.3945 0.8696  1 Li 2.57, 2 Ho 2.69, 1 Y 2.71
S8 0.8696 0.8696 0.3945  1 Li 2.57, 2 Ho 2.69, 1 Y 2.71

Computed properties:
The space group is No. 160. As for the raw formation energy: -2667 kJ/mol of formula units.


# 8
The following is a GGA-PBE calculation of crystalline LiYHoS3 at its relaxed geometry, from Alexandria.

Unit cell a=7.9934 b=3.7862 c=8.3214 alpha=90.00 beta=102.21 gamma=90.00
With the nearest neighbours (Å) after each atom.
Sites, in units of the cell vectors:
Li1 0.0873 0.2500 0.0830  4 S 2.36-2.38, 2 Li 2.57
Li2 0.9127 0.7500 0.9170  4 S 2.36-2.38, 2 Li 2.57
Y1 0.1852 0.2500 0.7191  7 S 2.76-2.93
Y2 0.8148 0.7500 0.2809  7 S 2.76-2.93
Ho1 0.3382 0.7500 0.3319  6 S 2.70-2.79
Ho2 0.6618 0.2500 0.6681  6 S 2.70-2.79
S1 0.0940 0.2500 0.3682  1 Li 2.36
S2 0.2174 0.7500 0.9924  3 Li 2.36-2.38
S3 0.4215 0.7500 0.6705  3 Ho 2.70-2.75, 2 Y 2.76
S4 0.5785 0.2500 0.3295  3 Ho 2.70-2.75, 2 Y 2.76
S5 0.7826 0.2500 0.0076  3 Li 2.36-2.38
S6 0.9060 0.7500 0.6318  1 Li 2.36

Computed properties:
The space group is No. 11. As for the raw formation energy: -1043 kJ/mol of formula units.


# 9
The following is a GGA-PBE calculation of crystalline Li3Y2HoS6 at its relaxed geometry, from Alexandria.

Unit cell a=6.7714 b=6.7714 c=6.5751 alpha=99.88 beta=99.88 gamma=120.00
With the nearest neighbours (Å) after each atom.
Sites, in units of the cell vectors:
Li1 0.0000 0.0000 0.0000  6 S 2.73-2.74
Li2 0.3339 0.6661 0.0000  6 S 2.72-2.75
Li3 0.6661 0.3339 0.0000  6 S 2.72-2.75
Y1 0.1667 0.8333 0.5000  6 S 2.74
Y2 0.8333 0.1667 0.5000  6 S 2.74
Ho1 0.5000 0.5000 0.5000  6 S 2.73
S1 0.0846 0.4165 0.2494  3 Li 2.73-2.75, 1 Ho 2.73, 2 Y 2.74
S2 0.2516 0.2516 0.7504  3 Li 2.72-2.74, 1 Ho 2.73, 2 Y 2.74
S3 0.4165 0.0846 0.2494  3 Li 2.73-2.75, 1 Ho 2.73, 2 Y 2.74
S4 0.5835 0.9154 0.7506  3 Li 2.73-2.75, 1 Ho 2.73, 2 Y 2.74
S5 0.7484 0.7484 0.2496  3 Li 2.72-2.74, 1 Ho 2.73, 2 Y 2.74
S6 0.9154 0.5835 0.7506  3 Li 2.73-2.75, 1 Ho 2.73, 2 Y 2.74

Computed properties:
The space group is No. 12. As for the raw formation energy: -2145 kJ/mol of formula units.


# 10
The following is a GGA-PBE calculation of crystalline Li2YHoS4 at its relaxed geometry, from Alexandria.

Unit cell a=6.5706 b=3.9069 c=6.7646 alpha=90.00 beta=110.05 gamma=90.00
With the nearest neighbours (Å) after each atom.
Sites, in units of the cell vectors:
Li1 0.0000 0.0000 0.0000  6 S 2.72-2.73
Li2 0.0000 0.5000 0.5000  6 S 2.74
Y1 0.5000 0.0000 0.5000  6 S 2.74
Ho1 0.5000 0.5000 0.0000  6 S 2.73
S1 0.2493 0.5000 0.2486  3 Li 2.73-2.74, 1 Ho 2.73, 2 Y 2.74
S2 0.2500 0.0000 0.7515  3 Li 2.72-2.74, 2 Ho 2.73, 1 Y 2.74
S3 0.7500 0.0000 0.2485  3 Li 2.72-2.74, 2 Ho 2.73, 1 Y 2.74
S4 0.7507 0.5000 0.7514  3 Li 2.73-2.74, 1 Ho 2.73, 2 Y 2.74

Computed properties:
The space group is No. 10. As for the raw formation energy: -1430 kJ/mol of formula units.


# 11
The following is a GGA-PBE calculation of crystalline LiY3Ho3S8 at its relaxed geometry, from Alexandria.

Unit cell a=7.7557 b=7.7557 c=7.7557 alpha=59.94 beta=59.94 gamma=59.94
With the nearest neighbours (Å) after each atom.
Sites, in units of the cell vectors:
Li1 0.0000 0.0000 0.0000  6 S 2.69
Y1 0.0000 0.0000 0.5000  6 S 2.75
Y2 0.0000 0.5000 0.0000  6 S 2.75
Y3 0.5000 0.0000 0.0000  6 S 2.75
Ho1 0.0000 0.5000 0.5000  6 S 2.73
Ho2 0.5000 0.0000 0.5000  6 S 2.73
Ho3 0.5000 0.5000 0.0000  6 S 2.73
S1 0.2453 0.2453 0.7529  1 Li 2.69, 2 Ho 2.73, 2 Y 2.75
S2 0.2453 0.7529 0.2453  1 Li 2.69, 2 Ho 2.73, 2 Y 2.75
S3 0.2471 0.7547 0.7547  1 Li 2.69, 2 Ho 2.73, 2 Y 2.75
S4 0.2508 0.2508 0.2508  3 Ho 2.73, 3 Y 2.75
S5 0.7492 0.7492 0.7492  3 Ho 2.73, 3 Y 2.75
S6 0.7529 0.2453 0.2453  1 Li 2.69, 2 Ho 2.73, 2 Y 2.75
S7 0.7547 0.2471 0.7547  1 Li 2.69, 2 Ho 2.73, 2 Y 2.75
S8 0.7547 0.7547 0.2471  1 Li 2.69, 2 Ho 2.73, 2 Y 2.75

Computed properties:
The space group is No. 166. As for the raw formation energy: -2895 kJ/mol of formula units.


# 12
The following is a GGA-PBE calculation of crystalline LiYHo2S5 at its relaxed geometry, from Alexandria.

Unit cell a=8.3032 b=8.3032 c=11.7815 alpha=90.00 beta=90.00 gamma=152.97
With the nearest neighbours (Å) after each atom.
Sites, in units of the cell vectors:
Li1 0.0125 0.9875 0.5000  4 S 2.29-2.42
Li2 0.9875 0.0125 0.0000  4 S 2.29-2.42
Y1 0.3036 0.6964 0.0184  6 S 2.60-2.75
Y2 0.6964 0.3036 0.5184  6 S 2.60-2.75
Ho1 0.3768 0.6232 0.3096  6 S 2.78-3.03
Ho2 0.3921 0.6079 0.7016  8 S 2.78-3.00
Ho3 0.6079 0.3921 0.2016  8 S 2.78-3.00
Ho4 0.6232 0.3768 0.8096  6 S 2.78-3.03
S1 0.0001 0.9999 0.3030  1 Li 2.33
S2 0.9999 0.0001 0.8030  1 Li 2.33
S3 0.1364 0.8636 0.0206  1 Li 2.42, 1 Y 2.70
S4 0.1925 0.8075 0.3566  2 Y 2.72, 3 Ho 3.00-3.03
S5 0.2129 0.7871 0.6819  2 Y 2.75, 3 Ho 2.85-2.90
S6 0.4550 0.5450 0.0936  2 Li 2.29
S7 0.5450 0.4550 0.5936  2 Li 2.29
S8 0.7871 0.2129 0.1819  2 Y 2.75, 3 Ho 2.85-2.90
S9 0.8075 0.1925 0.8566  2 Y 2.72, 3 Ho 3.00-3.03
S10 0.8636 0.1364 0.5206  1 Li 2.42, 1 Y 2.70

Computed properties:
The space group is No. 36. As for the raw formation energy: -1617 kJ/mol of formula units.